# 1
# Pm4InSnN PBE-GGA relaxed
data_Pm4InSnN
_chemical_formula_sum 'Pm16 In4 Sn4 N4'
_symmetry_space_group_name_H-M 'C m c m'
_symmetry_Int_Tables_number 63
_symmetry_space_group_name_Hall '-C 2c 2'
_cell_length_a 6.8971
_cell_length_b 16.4566
_cell_length_c 6.8988
_cell_angle_alpha 90.00
_cell_angle_beta 90.00
_cell_angle_gamma 90.00
loop_
_atom_site_label
_atom_site_type_symbol
_atom_site_fract_x
_atom_site_fract_y
_atom_site_fract_z
_atom_site_occupancy
Pm1 Pm 0.0000 0.0874 0.2500 1
Pm2 Pm 0.0000 0.4123 0.2500 1
Pm3 Pm 0.2500 0.2500 0.0000 1
In1 In 0.0000 0.1110 0.7500 1
Sn1 Sn 0.0000 0.3904 0.7500 1
N1 N 0.0000 0.2496 0.2500 1
# DFT total energy = -5.66 eV/atom
# uncorrected formation energy = -5.57 eV per formula unit

# 2
# TbTmThIn PBE-GGA relaxed
data_TbTmThIn
_chemical_formula_sum 'Tb4 Tm4 Th4 In4'
_symmetry_space_group_name_H-M 'F -4 3 m'
_symmetry_Int_Tables_number 216
_symmetry_space_group_name_Hall 'F -4 2 3'
_cell_length_a 7.6990
_cell_length_b 7.6990
_cell_length_c 7.6990
_cell_angle_alpha 90.00
_cell_angle_beta 90.00
_cell_angle_gamma 90.00
loop_
_atom_site_label
_atom_site_type_symbol
_atom_site_fract_x
_atom_site_fract_y
_atom_site_fract_z
_atom_site_occupancy
Tb1 Tb 0.0000 0.0000 0.0000 1
Tm1 Tm 0.0000 0.0000 0.5000 1
Th1 Th 0.2500 0.2500 0.7500 1
In1 In 0.2500 0.2500 0.2500 1
# DFT total energy = -4.83 eV/atom
# ΔE_f = -0.018 eV per atom